# 1
# CdIrAu

A relaxed CdIrAu crystal (PBE, Alexandria).

```
CdIrAu
1.0
2.941 0.000 0.000
0.000 4.909 0.000
0.000 0.000 14.465
Cd Ir Au
4 4 4
Direct
0.000 0.000 0.000
0.000 0.500 0.500
0.500 0.000 0.500
0.500 0.500 0.000
0.000 0.000 0.662
0.000 0.500 0.162
0.500 0.000 0.162
0.500 0.500 0.662
0.000 0.000 0.327
0.000 0.500 0.827
0.500 0.000 0.827
0.500 0.500 0.327
```

crystal system: orthorhombic
symmetry: Fmm2, No. 42
E above lowest polymorph: 46.6 meV per atom
formation enthalpy at 0 K: 0.25 eV per atom
theoretical density: 16.0 g/cm³

# 2
# CdIr2Au

A relaxed CdIr2Au crystal (PBE, Alexandria).

```
CdIr2Au
1.0
3.899 0.000 0.000
0.000 3.899 0.000
0.000 0.000 19.547
Cd Ir Au
4 8 4
Direct
0.000 0.000 0.000
0.000 0.500 0.250
0.500 0.000 0.750
0.500 0.500 0.500
0.202 0.250 0.625
0.250 0.702 0.875
0.250 0.798 0.375
0.298 0.250 0.125
0.702 0.750 0.125
0.750 0.202 0.375
0.750 0.298 0.875
0.798 0.750 0.625
0.000 0.000 0.500
0.000 0.500 0.750
0.500 0.000 0.250
0.500 0.500 0.000
```

crystal system: tetragonal
symmetry: I-42d, No. 122
formation enthalpy at 0 K: 0.59 eV per atom
theoretical density: 15.5 g/cm³

# 3
# CdIrAu3

A relaxed CdIrAu3 crystal (PBE, Alexandria).

```
CdIrAu3
1.0
5.005 0.000 0.000
0.000 5.005 0.000
0.000 0.000 5.005
Cd Ir Au
1 1 3
Direct
0.000 0.000 0.000
0.500 0.500 0.500
0.000 0.000 0.500
0.000 0.500 0.000
0.500 0.000 0.000
```

crystal system: cubic
symmetry: Pm-3m, No. 221
E above lowest polymorph: 670.8 meV per atom
formation enthalpy at 0 K: 1.54 eV per atom
theoretical density: 11.9 g/cm³

# 4
# CdIr2Au

A relaxed CdIr2Au crystal (PBE, Alexandria).

```
CdIr2Au
1.0
2.833 0.000 0.000
0.000 4.819 0.000
0.000 0.000 4.875
Cd Ir Au
1 2 1
Direct
0.000 0.000 0.000
0.000 0.500 0.500
0.500 0.000 0.500
0.500 0.500 0.000
```

crystal system: orthorhombic
symmetry: Pmmm, No. 47
formation enthalpy at 0 K: 0.29 eV per atom
theoretical density: 17.3 g/cm³

# 5
# CdIr2Au

A relaxed CdIr2Au crystal (PBE, Alexandria).

```
CdIr2Au
1.0
2.828 0.000 0.000
0.000 4.842 0.000
0.000 0.000 10.042
Cd Ir Au
2 4 2
Direct
0.000 0.000 0.000
0.500 0.500 0.500
0.000 0.000 0.469
0.000 0.500 0.756
0.500 0.000 0.256
0.500 0.500 0.969
0.000 0.500 0.224
0.500 0.000 0.724
```

crystal system: orthorhombic
symmetry: Imm2, No. 44
formation enthalpy at 0 K: 0.32 eV per atom
theoretical density: 16.8 g/cm³

# 6
# CdIr2Au

A relaxed CdIr2Au crystal (PBE, Alexandria).

```
CdIr2Au
1.0
2.859 0.000 0.000
0.000 2.859 0.000
0.000 0.000 8.135
Cd Ir Au
1 2 1
Direct
0.000 0.000 0.000
0.500 0.500 0.258
0.500 0.500 0.742
0.000 0.000 0.500
```

crystal system: tetragonal
symmetry: P4/mmm, No. 123
formation enthalpy at 0 K: 0.43 eV per atom
theoretical density: 17.3 g/cm³

# 7
# CdIr2Au

A relaxed CdIr2Au crystal (PBE, Alexandria).

```
CdIr2Au
1.0
9.255 0.000 0.000
0.000 2.872 0.000
-0.895 0.000 5.022
Cd Ir Au
2 4 2
Direct
0.000 0.000 0.000
0.500 0.500 0.000
0.009 0.500 0.522
0.246 0.000 0.698
0.509 0.000 0.522
0.746 0.500 0.698
0.256 0.500 0.227
0.756 0.000 0.227
```

crystal system: monoclinic
symmetry: Cm, No. 8
formation enthalpy at 0 K: 0.24 eV per atom
theoretical density: 17.3 g/cm³

# 8
# Cd4IrAu

A relaxed Cd4IrAu crystal (PBE, Alexandria).

```
Cd4IrAu
1.0
0.000 3.892 3.892
3.892 0.000 3.892
3.892 3.892 0.000
Cd Ir Au
4 1 1
Direct
0.125 0.125 0.125
0.125 0.125 0.626
0.125 0.626 0.125
0.626 0.125 0.125
0.750 0.750 0.750
0.500 0.500 0.500
```

crystal system: cubic
symmetry: F-43m, No. 216
formation enthalpy at 0 K: 0.40 eV per atom
theoretical density: 11.8 g/cm³